No. 1
GePRhS2 | Alexandria via LeMat-Bulk | SCAN | single point on PBEsol structure; ΔE_f (raw) = 0.50 eV/atom; N(E_F) = 3.1 states/eV/f.u.
1.0
4.801 0.000 0.000
0.000 4.801 0.000
0.000 0.000 4.258
Ge P Rh S
1 1 1 2
Cartesian
0.000 0.000 0.000
2.401 2.401 0.000
2.401 2.401 2.129
0.000 2.401 2.129
2.401 0.000 2.129

No. 2
ReNi2Os | Alexandria via LeMat-Bulk | SCAN | single point on PBEsol structure; N(E_F) = 4.8 states/eV/f.u.; excess energy over the best structure of this formula in the dataset = 396.8 meV/atom; formation energy = 39 kJ per mole of atoms
1.0
1.397 -2.186 0.000
1.397 2.186 0.000
0.000 0.000 8.425
Re Ni Os
1 2 1
Cartesian
0.000 0.000 0.000
0.000 0.000 4.378
1.397 0.000 6.345
1.397 0.000 2.273

No. 3
ZrWBr | Alexandria via LeMat-Bulk | SCAN | single point on PBEsol structure; ΔE_f (raw) = 1.36 eV/atom; N(E_F) = 5.5 states/eV/f.u.; excess energy over the best structure of this formula in the dataset = 860.4 meV/atom
1.0
0.000 3.148 3.148
3.148 0.000 3.148
3.148 3.148 0.000
Zr W Br
1 1 1
Cartesian
0.000 0.000 0.000
4.723 4.723 4.723
3.148 3.148 3.148

no.,final energy (eV for the cell shown)
1,-80.03
2,-173.69
3,-115.77